LiAl3F | GGA-PBEsol | relaxed

a b c (Å): 4.4813 4.4813 4.4813
angles (deg): 90.00 90.00 90.00
Closest atoms and distances in Å follow each position.
Space group Pm-3m (No. 221)
One atom of each set of equivalent atoms:
Li  0.0000  0.0000  0.0000  12 Al 3.17
Al  0.0000  0.5000  0.5000  2 F 2.24
F  0.5000  0.5000  0.5000  6 Al 2.24

Calculated values
D(E_F), states/eV per cell: 2.30
Total magnetic moment, μB per atom: 0.000
ΔE_f (raw), eV per atom: -0.21